Density functional theory data (SCAN) for NaLiCd2 at its PBEsol-relaxed geometry.

```
data_NaLiCd2
_chemical_formula_sum 'Na4 Li4 Cd8'
_space_group_name_H-M_alt 'F m -3 m'
_space_group_IT_number 225
_space_group_name_Hall '-F 4 2 3'
_cell_length_a 6.971
_cell_length_b 6.971
_cell_length_c 6.971
_cell_angle_alpha 90.00
_cell_angle_beta 90.00
_cell_angle_gamma 90.00
loop_
_atom_site_label
_atom_site_type_symbol
_atom_site_fract_x
_atom_site_fract_y
_atom_site_fract_z
Na1 Na 0.000 0.000 0.000
Li1 Li 0.000 0.000 0.500
Cd1 Cd 0.250 0.250 0.250
```

Results
- calculated total energy (eV/atom) = -16.98
- volume (Å³/cell) = 338.7
- total magnetization (μB/f.u.) = 0.0
- energy relative to the elements (kJ per mole of atoms) = -12